[1]
Computed, not measured: LiPm6Si4 after structural relaxation at the GGA-PBE level of DFT.

## Properties
Formation energy from raw total energies (eV per atom): -0.286
Magnetic moment (μB per cell): 1.85
Energy (eV/atom): -5.02

Lattice parameters (Å, degrees): 4.137 9.196 9.196 120.00 90.00 90.00
Fractional positions:
Pm1 0.500 0.617 0.809
Pm2 0.000 0.539 0.077
Pm3 0.500 0.191 0.383
Pm4 0.000 0.539 0.461
Pm5 0.000 0.923 0.461
Pm6 0.500 0.191 0.809
Si1 0.500 0.824 0.648
Si2 0.500 0.824 0.176
Si3 0.000 0.333 0.667
Si4 0.500 0.352 0.176
Li1 0.000 0.000 0.000

[2]
Computed, not measured: Cu3BW after structural relaxation at the GGA-PBE level of DFT.

## Properties
Magnetic moment (μB per cell): 0.00
Energy (eV/atom): -5.72
Energy relative to the elements (eV/f.u.): 3.338

Lattice parameters (Å, degrees): 3.920 3.920 3.920 90.00 90.00 90.00
Fractional positions:
Cu1 0.000 0.000 0.500
Cu2 0.000 0.500 0.000
Cu3 0.500 0.000 0.000
W1 0.500 0.500 0.500
B1 0.000 0.000 0.000

[3]
Computed, not measured: ZrCo2Tc2 after structural relaxation at the GGA-PBE level of DFT.

## Properties
Magnetic moment (μB per cell): 0.00
Energy (eV/atom): -8.66
Energy relative to the elements (eV/f.u.): 0.190

Lattice parameters (Å, degrees): 7.353 7.353 2.659 90.00 90.00 90.00
Fractional positions:
Co1 0.828 0.328 0.500
Co2 0.328 0.172 0.500
Co3 0.172 0.672 0.500
Co4 0.672 0.828 0.500
Zr1 0.000 0.000 0.000
Zr2 0.500 0.500 0.000
Tc1 0.123 0.377 0.000
Tc2 0.377 0.877 0.000
Tc3 0.623 0.123 0.000
Tc4 0.877 0.623 0.000

[4]
Computed, not measured: Ce6BiAu5 after structural relaxation at the GGA-PBE level of DFT.

## Properties
Magnetic moment (μB per cell): 5.84
Energy (eV/atom): -5.25
Energy relative to the elements (eV/f.u.): -7.157

Lattice parameters (Å, degrees): 5.359 7.585 8.038 90.00 112.03 90.00
Fractional positions:
Ce1 0.107 0.744 0.358
Ce2 0.893 0.744 0.642
Ce3 0.500 0.259 0.000
Ce4 0.107 0.256 0.358
Ce5 0.893 0.256 0.642
Ce6 0.500 0.741 0.000
Au1 0.432 0.500 0.674
Au2 0.568 0.500 0.326
Au3 0.421 0.000 0.667
Au4 0.000 0.500 0.000
Au5 0.579 0.000 0.333
Bi1 0.000 0.000 0.000

[5]
Computed, not measured: Ti6InMo after structural relaxation at the GGA-PBE level of DFT.

## Properties
Magnetic moment (μB per cell): 4.67
Energy (eV/atom): -7.66
Energy relative to the elements (eV/f.u.): -0.323

Lattice parameters (Å, degrees): 4.660 4.660 7.910 72.87 72.87 60.00
Fractional positions:
Ti1 0.368 0.368 0.896
Ti2 0.248 0.248 0.255
Ti3 0.116 0.116 0.651
Ti4 0.752 0.752 0.745
Ti5 0.884 0.884 0.349
Ti6 0.632 0.632 0.104
Mo1 0.000 0.000 0.000
In1 0.500 0.500 0.500

[6]
Computed, not measured: SrCu3Pt2 after structural relaxation at the GGA-PBE level of DFT.

## Properties
Magnetic moment (μB per cell): 0.00
Energy (eV/atom): -4.69
Energy relative to the elements (eV/f.u.): -2.063

Lattice parameters (Å, degrees): 5.488 6.378 6.378 98.66 90.00 90.00
Fractional positions:
Sr1 0.250 0.317 0.317
Sr2 0.750 0.683 0.683
Cu1 0.250 0.937 0.937
Cu2 0.250 0.545 0.927
Cu3 0.750 0.455 0.073
Cu4 0.250 0.927 0.545
Cu5 0.750 0.063 0.063
Cu6 0.750 0.073 0.455
Pt1 0.000 0.780 0.220
Pt2 0.000 0.220 0.780
Pt3 0.500 0.220 0.780
Pt4 0.500 0.780 0.220

[7]
Computed, not measured: Ca4HgAu3 after structural relaxation at the GGA-PBE level of DFT.

## Properties
Magnetic moment (μB per cell): 0.00
Energy (eV/atom): -2.98
Energy relative to the elements (eV/f.u.): -5.697

Lattice parameters (Å, degrees): 5.189 5.189 8.251 108.50 108.33 90.00
Fractional positions:
Au1 0.253 0.752 0.505
Au2 0.747 0.248 0.495
Au3 0.000 0.500 0.000
Hg1 0.500 0.000 0.000
Ca1 0.372 0.372 0.745
Ca2 0.128 0.128 0.255
Ca3 0.628 0.628 0.255
Ca4 0.872 0.872 0.745

[8]
Computed, not measured: Zr5AlHg2 after structural relaxation at the GGA-PBE level of DFT.

## Properties
Magnetic moment (μB per cell): 0.00
Energy (eV/atom): -6.13
Energy relative to the elements (eV/f.u.): -1.984

Lattice parameters (Å, degrees): 4.412 4.412 9.321 103.69 103.69 90.00
Fractional positions:
Zr1 0.623 0.123 0.245
Zr2 0.877 0.377 0.755
Zr3 0.500 0.500 0.000
Zr4 0.377 0.877 0.755
Zr5 0.123 0.623 0.245
Al1 0.000 0.000 0.000
Hg1 0.250 0.250 0.500
Hg2 0.750 0.750 0.500